DFT (GGA-PBE) results for a geometry-optimized PdI3O structure.

## Properties
Raw formation energy in eV/atom: 0.6877
Polymorph energy (0 for the lowest one) in meV per atom: 0

Cell lengths 5.059, 5.059, 5.059 Å; angles 90.00, 90.00, 90.00 degrees
Sites, in units of the cell vectors:
Pd  0.000  0.000  0.000
I  0.000  0.500  0.500
I  0.500  0.000  0.500
I  0.500  0.500  0.000
O  0.500  0.500  0.500

***

DFT (GGA-PBE) results for a geometry-optimized LiBe2Al structure.

## Properties
E_tot in eV/atom: -3.138

Cell lengths 3.983, 3.983, 3.983 Å; angles 119.91, 119.91, 90.15 degrees
Sites, in units of the cell vectors:
Li  0.000  0.000  0.000
Be  0.250  0.750  0.500
Be  0.500  0.500  0.000
Al  0.750  0.250  0.500

***

DFT (GGA-PBE) results for a geometry-optimized Mg2Au structure.

## Properties
E_tot in eV/atom: -2.516

Cell lengths 4.623, 4.623, 3.130 Å; angles 90.00, 90.00, 120.00 degrees
Sites, in units of the cell vectors:
Mg  0.333  0.667  0.279
Mg  0.667  0.333  0.721
Au  0.000  0.000  0.000

***

DFT (GGA-PBE) results for a geometry-optimized AgAsCl3 structure.

## Properties
Raw formation energy in eV/atom: -0.1200
Polymorph energy (0 for the lowest one) in meV per atom: 389

Cell lengths 5.079, 5.079, 5.079 Å; angles 90.00, 90.00, 90.00 degrees
Sites, in units of the cell vectors:
Ag  0.000  0.000  0.000
As  0.500  0.500  0.500
Cl  0.000  0.500  0.500
Cl  0.500  0.000  0.500
Cl  0.500  0.500  0.000

***

DFT (GGA-PBE) results for a geometry-optimized La3PmDyTm structure.

## Properties
E_tot in eV/atom: -4.735

Cell lengths 8.095, 5.211, 10.392 Å; angles 90.00, 108.83, 90.00 degrees
Sites, in units of the cell vectors:
La  0.170  0.250  0.041
La  0.171  0.250  0.543
La  0.173  0.750  0.294
La  0.827  0.250  0.706
La  0.829  0.750  0.457
La  0.830  0.750  0.959
Pm  0.171  0.750  0.792
Pm  0.829  0.250  0.208
Dy  0.500  0.250  0.876
Dy  0.500  0.750  0.124
Tm  0.498  0.750  0.626
Tm  0.502  0.250  0.374

***

DFT (GGA-PBE) results for a geometry-optimized TcRh2Se structure.

## Properties
Raw formation energy in eV/atom: 0.1316

Cell lengths 4.746, 4.746, 4.908 Å; angles 106.91, 106.91, 35.18 degrees
Sites, in units of the cell vectors:
Tc  0.000  0.000  0.000
Rh  0.534  0.534  0.488
Rh  0.756  0.756  0.190
Se  0.290  0.290  0.653

***

| no. | total magnetic moment (Bohr magnetons per cell) |
| --- | --- |
| 1 | 0.72 |
| 2 | 0.00 |
| 3 | 0.00 |
| 4 | 0.00 |
| 5 | 0.00 |
| 6 | 0.00 |